ErTa4: optimized geometry, PBE.

Computed properties:
The energy of formation from the pure elements comes out at 2.346 eV/atom. As for the total energy: -8.0489 eV per atom.

Geometry as CIF:
```
data_ErTa4
_symmetry_space_group_name_H-M 'P m -3 m'
_symmetry_Int_Tables_number 221
_symmetry_space_group_name_Hall '-P 4 2 3'
_cell_length_a 4.817
_cell_length_b 4.817
_cell_length_c 4.817
_cell_angle_alpha 90.00
_cell_angle_beta 90.00
_cell_angle_gamma 90.00
loop_
_atom_site_label
_atom_site_fract_x
_atom_site_fract_y
_atom_site_fract_z
Er1 0.000 0.000 0.000
Ta1 0.000 0.000 0.500
Ta2 0.500 0.500 0.500
```

---

Re3Mo: optimized geometry, PBE.

Computed properties:
The energy of formation from the pure elements comes out at 0.119 eV/atom. As for the total energy: -11.9245 eV per atom. Its energy above the lowest structure with this stoichiometry is 0.12 eV per formula unit.

Geometry as CIF:
```
data_Re3Mo
_symmetry_space_group_name_H-M 'P m m m'
_symmetry_Int_Tables_number 47
_symmetry_space_group_name_Hall '-P 2 2'
_cell_length_a 2.775
_cell_length_b 3.949
_cell_length_c 5.567
_cell_angle_alpha 90.00
_cell_angle_beta 90.00
_cell_angle_gamma 90.00
loop_
_atom_site_label
_atom_site_fract_x
_atom_site_fract_y
_atom_site_fract_z
Re1 0.000 0.000 0.000
Re2 0.500 0.500 0.245
Mo1 0.000 0.000 0.500
```

---

CoPt4Au: optimized geometry, PBE.

Computed properties:
The energy of formation from the pure elements comes out at -0.040 eV/atom. As for the total energy: -5.7975 eV per atom. Its energy above the lowest structure with this stoichiometry is 0.00 eV per formula unit.

Geometry as CIF:
```
data_CoPt4Au
_symmetry_space_group_name_H-M 'P 4/m m m'
_symmetry_Int_Tables_number 123
_symmetry_space_group_name_Hall '-P 4 2'
_cell_length_a 2.767
_cell_length_b 2.767
_cell_length_c 12.012
_cell_angle_alpha 90.00
_cell_angle_beta 90.00
_cell_angle_gamma 90.00
loop_
_atom_site_label
_atom_site_fract_x
_atom_site_fract_y
_atom_site_fract_z
Co1 0.000 0.000 0.000
Pt1 0.000 0.000 0.319
Pt2 0.500 0.500 0.148
Au1 0.500 0.500 0.500
```

---

ZnTc2Cl: optimized geometry, PBE.

Computed properties:
As for the total energy: -5.6543 eV per atom. Its energy above the lowest structure with this stoichiometry is 1.41 eV per formula unit. The calculation puts the formation energy from raw total energies at 309 meV per atom.

Geometry as CIF:
```
data_ZnTc2Cl
_symmetry_space_group_name_H-M 'C m m 2'
_symmetry_Int_Tables_number 35
_symmetry_space_group_name_Hall 'C 2 -2'
_cell_length_a 2.974
_cell_length_b 4.951
_cell_length_c 8.553
_cell_angle_alpha 90.00
_cell_angle_beta 90.00
_cell_angle_gamma 90.00
loop_
_atom_site_label
_atom_site_fract_x
_atom_site_fract_y
_atom_site_fract_z
Zn1 0.000 0.000 0.000
Tc1 0.000 0.000 0.506
Tc2 0.000 0.500 0.743
Cl1 0.000 0.500 0.248
```

---

Sr6HgBi5: optimized geometry, PBE.

Computed properties:
The energy of formation from the pure elements comes out at -0.763 eV/atom. As for the total energy: -3.2464 eV per atom.

Geometry as CIF:
```
data_Sr6HgBi5
_symmetry_space_group_name_H-M 'C m m m'
_symmetry_Int_Tables_number 65
_symmetry_space_group_name_Hall '-C 2 2'
_cell_length_a 5.786
_cell_length_b 17.638
_cell_length_c 8.366
_cell_angle_alpha 90.00
_cell_angle_beta 90.00
_cell_angle_gamma 90.00
loop_
_atom_site_label
_atom_site_fract_x
_atom_site_fract_y
_atom_site_fract_z
Sr1 0.000 0.000 0.244
Sr2 0.000 0.329 0.255
Hg1 0.000 0.500 0.500
Bi1 0.000 0.155 0.500
Bi2 0.000 0.167 0.000
Bi3 0.000 0.500 0.000
```

---

Ce2PbN2: optimized geometry, PBE.

Computed properties:
As for the total energy: -7.5701 eV per atom. The calculation puts the formation energy from raw total energies at -1125 meV per atom.

Geometry as CIF:
```
data_Ce2PbN2
_symmetry_space_group_name_H-M 'A m m 2'
_symmetry_Int_Tables_number 38
_symmetry_space_group_name_Hall 'A 2 -2'
_cell_length_a 4.019
_cell_length_b 4.000
_cell_length_c 14.756
_cell_angle_alpha 90.00
_cell_angle_beta 90.00
_cell_angle_gamma 90.00
loop_
_atom_site_label
_atom_site_fract_x
_atom_site_fract_y
_atom_site_fract_z
Ce1 0.000 0.000 0.000
Ce2 0.500 0.000 0.353
Pb1 0.500 0.000 0.658
N1 0.000 0.000 0.422
N2 0.500 0.000 0.926
```

---

ErBeNi4: optimized geometry, PBE.

Computed properties:
The energy of formation from the pure elements comes out at -0.343 eV/atom. As for the total energy: -5.5791 eV per atom. Its energy above the lowest structure with this stoichiometry is 0.00 eV per formula unit.

Geometry as CIF:
```
data_ErBeNi4
_symmetry_space_group_name_H-M 'P m m a'
_symmetry_Int_Tables_number 51
_symmetry_space_group_name_Hall '-P 2a 2a'
_cell_length_a 6.855
_cell_length_b 3.529
_cell_length_c 6.304
_cell_angle_alpha 90.00
_cell_angle_beta 90.00
_cell_angle_gamma 90.00
loop_
_atom_site_label
_atom_site_fract_x
_atom_site_fract_y
_atom_site_fract_z
Er1 0.250 0.000 0.124
Be1 0.250 0.000 0.694
Ni1 0.000 0.000 0.500
Ni2 0.064 0.500 0.796
Ni3 0.250 0.500 0.463
```

---

BaZr2InAs: optimized geometry, PBE.

Computed properties:
The energy of formation from the pure elements comes out at 0.689 eV/atom. As for the total energy: -4.5924 eV per atom.

Geometry as CIF:
```
data_BaZr2InAs
_symmetry_space_group_name_H-M 'P 4/m m m'
_symmetry_Int_Tables_number 123
_symmetry_space_group_name_Hall '-P 4 2'
_cell_length_a 5.460
_cell_length_b 5.460
_cell_length_c 5.611
_cell_angle_alpha 90.00
_cell_angle_beta 90.00
_cell_angle_gamma 90.00
loop_
_atom_site_label
_atom_site_fract_x
_atom_site_fract_y
_atom_site_fract_z
Ba1 0.000 0.000 0.000
Zr1 0.000 0.500 0.500
In1 0.500 0.500 0.500
As1 0.500 0.500 0.000
```

---

TbHo5Er5: optimized geometry, PBE.

Computed properties:
The energy of formation from the pure elements comes out at 0.288 eV/atom. As for the total energy: -4.2876 eV per atom. Its energy above the lowest structure with this stoichiometry is 1.56 eV per formula unit.

Geometry as CIF:
```
data_TbHo5Er5
_symmetry_space_group_name_H-M 'C 1 2/m 1'
_symmetry_Int_Tables_number 12
_symmetry_space_group_name_Hall '-C 2y'
_cell_length_a 18.691
_cell_length_b 5.844
_cell_length_c 6.862
_cell_angle_alpha 90.00
_cell_angle_beta 111.49
_cell_angle_gamma 90.00
loop_
_atom_site_label
_atom_site_fract_x
_atom_site_fract_y
_atom_site_fract_z
Tb1 0.000 0.000 0.000
Ho1 0.000 0.500 0.000
Ho2 0.179 0.000 0.425
Ho3 0.179 0.000 0.933
Er1 0.000 0.000 0.500
Er2 0.124 0.500 0.624
Er3 0.169 0.500 0.169
```

---

P2RuNO: optimized geometry, PBE.

Computed properties:
As for the total energy: -7.2056 eV per atom. Its energy above the lowest structure with this stoichiometry is 0.34 eV per formula unit. The calculation puts the formation energy from raw total energies at -530 meV per atom.

Geometry as CIF:
```
data_P2RuNO
_symmetry_space_group_name_H-M 'P 1 m 1'
_symmetry_Int_Tables_number 6
_symmetry_space_group_name_Hall 'P -2y'
_cell_length_a 4.170
_cell_length_b 2.801
_cell_length_c 5.300
_cell_angle_alpha 90.00
_cell_angle_beta 106.06
_cell_angle_gamma 90.00
loop_
_atom_site_label
_atom_site_fract_x
_atom_site_fract_y
_atom_site_fract_z
P1 0.000 0.000 0.000
P2 0.354 0.500 0.480
Ru1 0.490 0.500 0.924
N1 0.133 0.000 0.337
O1 0.636 0.500 0.343
```

---

MnSiP2: optimized geometry, PBE.

Computed properties:
As for the total energy: -6.4540 eV per atom. The calculation puts the formation energy from raw total energies at -101 meV per atom.

Geometry as CIF:
```
data_MnSiP2
_symmetry_space_group_name_H-M 'I -4 2 d'
_symmetry_Int_Tables_number 122
_symmetry_space_group_name_Hall 'I -4 2bw'
_cell_length_a 5.550
_cell_length_b 5.550
_cell_length_c 10.367
_cell_angle_alpha 90.00
_cell_angle_beta 90.00
_cell_angle_gamma 90.00
loop_
_atom_site_label
_atom_site_fract_x
_atom_site_fract_y
_atom_site_fract_z
Mn1 0.000 0.000 0.000
Si1 0.000 0.000 0.500
P1 0.225 0.750 0.625
```